! CsDyMnF6, optimized geometry, DFT PBE with a Hubbard U; values from VASP
! N(E_F)   0.00 states/eV/atom
! Electronic total energy   -6.04 eV per atom
&SYSTEM
  ibrav = 0, nat = 9, ntyp = 4
/
ATOMIC_SPECIES
Cs 132.91 Cs.upf
Dy 162.50 Dy.upf
Mn 54.94 Mn.upf
F 19.00 F.upf
CELL_PARAMETERS angstrom
2.968 -5.152 0.000
2.968 5.152 0.000
-0.009 0.000 6.341
ATOMIC_POSITIONS angstrom
Cs 0.000 0.000 0.000
Dy 2.963 1.717 3.171
Mn 2.963 -1.716 3.171
F 2.317 -0.017 4.350
F 1.184 -1.999 2.000
F 1.814 -3.121 4.359
F 3.610 -0.017 1.992
F 4.743 -1.999 4.341
F 4.113 -3.121 1.983